An optimized crystal structure of Li2V2PbO7, computed with PBE with a Hubbard U.

Cell: 8.5592 8.5592 8.5592 Å, 37.64 37.64 37.64°
With the nearest neighbours (Å) after each atom.
Atoms (fractional coordinates):
Li 0.2407 0.2407 0.2407  3 O 1.90
Li 0.7593 0.7593 0.7593  3 O 1.90
V 0.0758 0.0758 0.0758  4 O 1.72-1.81
V 0.9242 0.9242 0.9242  4 O 1.72-1.81
Pb 0.5000 0.5000 0.5000  6 O 2.57
O 0.0000 0.0000 0.0000  2 V 1.81
O 0.0827 0.4024 0.8165  1 V 1.72, 1 Li 1.90
O 0.1835 0.5976 0.9173  1 V 1.72, 1 Li 1.90
O 0.4024 0.8165 0.0827  1 V 1.72, 1 Li 1.90
O 0.5976 0.9173 0.1835  1 V 1.72, 1 Li 1.90
O 0.8165 0.0827 0.4024  1 V 1.72, 1 Li 1.90
O 0.9173 0.1835 0.5976  1 V 1.72, 1 Li 1.90

Properties
VASP energy (eV/cell): -79.8
D(E_F) (states/eV/cell): 0.00